1.
{"formula": "PaPIrOs", "functional": "GGA-PBE", "state": "optimized geometry", "lattice_angstrom": [[3.9131, 0.0000, 0.0000], [0.0000, 3.9131, 0.0000], [0.0000, 0.0000, 9.2170]], "species": ["Pa", "Pa", "P", "P", "Ir", "Ir", "Os", "Os"], "fractional_positions": [[0.2500, 0.2500, 0.2246], [0.7500, 0.7500, 0.7754], [0.2500, 0.2500, 0.6428], [0.7500, 0.7500, 0.3572], [0.2500, 0.2500, 0.9004], [0.7500, 0.7500, 0.0996], [0.2500, 0.7500, 0.5000], [0.7500, 0.2500, 0.5000]], "dos_ef_per_ev_cell": 5.58, "formation_enthalpy_0k_ev_per_atom": -0.713}

=====

2.
{"formula": "RbLa", "functional": "GGA-PBE", "state": "optimized geometry", "lattice_angstrom": [[-7.6267, 7.6267, 1.9196], [7.6267, -7.6267, 1.9196], [7.6267, 7.6267, -1.9196]], "species": ["Rb", "Rb", "Rb", "Rb", "La", "La", "La", "La"], "fractional_positions": [[0.1295, 0.8289, 0.9584], [0.1711, 0.1295, 0.3005], [0.8289, 0.8705, 0.6995], [0.8705, 0.1711, 0.0416], [0.1240, 0.5468, 0.6708], [0.4532, 0.1240, 0.5773], [0.5468, 0.8760, 0.4227], [0.8760, 0.4532, 0.3292]], "dos_ef_per_ev_cell": 11.57, "formation_enthalpy_0k_ev_per_atom": 0.300}

=====

3.
{"formula": "Na4Tl8Pb", "functional": "GGA-PBE", "state": "optimized geometry", "lattice_angstrom": [[4.7985, 0.0000, 0.0000], [0.0000, 4.9591, 0.0000], [0.0000, 0.0000, 16.9744]], "species": ["Na", "Na", "Na", "Na", "Tl", "Tl", "Tl", "Tl", "Tl", "Tl", "Tl", "Tl", "Pb"], "fractional_positions": [[0.0000, 0.0000, 0.0000], [0.0000, 0.5000, 0.4335], [0.5000, 0.0000, 0.7568], [0.5000, 0.5000, 0.2817], [0.0000, 0.0000, 0.2816], [0.0000, 0.0000, 0.5759], [0.0000, 0.5000, 0.1442], [0.0000, 0.5000, 0.8752], [0.5000, 0.0000, 0.1388], [0.5000, 0.0000, 0.4323], [0.5000, 0.5000, 0.0037], [0.5000, 0.5000, 0.5691], [0.0000, 0.5000, 0.6964]], "dos_ef_per_ev_cell": 6.15, "formation_enthalpy_0k_ev_per_atom": -0.053}

=====

4.
{"formula": "SrRhO2F", "functional": "GGA-PBE", "state": "optimized geometry", "lattice_angstrom": [[4.0219, 0.0000, 0.0000], [0.0000, 4.0219, 0.0000], [0.0000, 0.0000, 4.2881]], "species": ["Sr", "Rh", "O", "O", "F"], "fractional_positions": [[0.0000, 0.0000, 0.0000], [0.5000, 0.5000, 0.5000], [0.0000, 0.5000, 0.5000], [0.5000, 0.0000, 0.5000], [0.5000, 0.5000, 0.0000]], "dos_ef_per_ev_cell": 3.99, "e_form_raw_ev_per_atom": -1.720}

=====

5.
{"formula": "Rb2SmTmO4", "functional": "GGA-PBE", "state": "optimized geometry", "lattice_angstrom": [[6.1200, 0.0000, 0.0000], [0.0000, 3.5328, 0.0000], [-2.0358, 0.0000, 6.5687]], "species": ["Rb", "Rb", "Sm", "Tm", "O", "O", "O", "O"], "fractional_positions": [[0.0000, 0.0000, 0.0000], [0.5000, 0.5000, 0.0000], [0.0000, 0.5000, 0.5000], [0.5000, 0.0000, 0.5000], [0.2354, 0.0000, 0.6768], [0.2838, 0.5000, 0.3251], [0.7162, 0.5000, 0.6749], [0.7646, 0.0000, 0.3232]], "dos_ef_per_ev_cell": 0.00, "e_form_raw_ev_per_atom": -2.666}

=====

6.
{"formula": "Na8Si6SnO18", "functional": "GGA-PBE", "state": "optimized geometry", "lattice_angstrom": [[5.1574, 2.9776, 4.4668], [-5.1574, 2.9776, 4.4668], [0.0000, -5.9553, 4.4668]], "species": ["Na", "Na", "Na", "Na", "Na", "Na", "Na", "Na", "Si", "Si", "Si", "Si", "Si", "Si", "Sn", "O", "O", "O", "O", "O", "O", "O", "O", "O", "O", "O", "O", "O", "O", "O", "O", "O", "O"], "fractional_positions": [[0.0000, 0.0000, 0.5000], [0.0000, 0.5000, 0.0000], [0.0000, 0.5000, 0.5000], [0.2450, 0.2450, 0.2450], [0.5000, 0.0000, 0.0000], [0.5000, 0.0000, 0.5000], [0.5000, 0.5000, 0.0000], [0.7550, 0.7550, 0.7550], [0.2650, 0.7210, 0.7210], [0.2790, 0.2790, 0.7350], [0.2790, 0.7350, 0.2790], [0.7210, 0.2650, 0.7210], [0.7210, 0.7210, 0.2650], [0.7350, 0.2790, 0.2790], [0.0000, 0.0000, 0.0000], [0.0797, 0.8109, 0.8109], [0.1891, 0.1891, 0.9203], [0.1891, 0.9203, 0.1891], [0.2121, 0.2121, 0.5497], [0.2121, 0.5497, 0.2121], [0.2424, 0.5000, 0.7576], [0.2424, 0.7576, 0.5000], [0.4503, 0.7879, 0.7879], [0.5000, 0.2424, 0.7576], [0.5000, 0.7576, 0.2424], [0.5497, 0.2121, 0.2121], [0.7576, 0.2424, 0.5000], [0.7576, 0.5000, 0.2424], [0.7879, 0.4503, 0.7879], [0.7879, 0.7879, 0.4503], [0.8109, 0.0797, 0.8109], [0.8109, 0.8109, 0.0797], [0.9203, 0.1891, 0.1891]], "dos_ef_per_ev_cell": 0.00, "e_form_raw_ev_per_atom": -2.379}

=====

Respective volume values: 141.1; 446.6; 403.9; 69.4; 142.0; 411.6 Å³/cell.